Entry 1:
{
  "formula": "PrPaPb6",
  "functional": "GGA-PBE",
  "state": "relaxed",
  "cell": [[4.874, 0.000, 0.000], [0.000, 4.874, 0.000], [0.000, 0.000, 9.780]],
  "species": ["Pr", "Pa", "Pb", "Pb", "Pb", "Pb", "Pb", "Pb"],
  "frac_coords": [[0.000, 0.000, 0.000], [0.000, 0.000, 0.500], [0.000, 0.500, 0.256], [0.000, 0.500, 0.744], [0.500, 0.000, 0.256], [0.500, 0.000, 0.744], [0.500, 0.500, 0.000], [0.500, 0.500, 0.500]],
  "e_tot_ev_per_cell": -38.0,
  "formation_energy_ev_per_fu": -1.47,
  "sg": "P4/mmm (123)",
  "total_magnetization_mub_per_fu": 0.3,
  "dos_at_fermi_per_ev_fu": 8.24
}

Entry 2:
{
  "formula": "Pr2PaPb",
  "functional": "GGA-PBE",
  "state": "relaxed",
  "cell": [[5.032, 0.000, 0.000], [0.000, 5.032, 0.000], [0.000, 0.000, 4.669]],
  "species": ["Pr", "Pr", "Pa", "Pb"],
  "frac_coords": [[0.000, 0.500, 0.000], [0.500, 0.000, 0.000], [0.000, 0.000, 0.500], [0.500, 0.500, 0.500]],
  "e_tot_ev_per_cell": -23.0,
  "formation_energy_ev_per_fu": -0.19,
  "relative_energy_mev_per_atom": 0,
  "sg": "P4/mmm (123)",
  "total_magnetization_mub_per_fu": 0.0,
  "dos_at_fermi_per_ev_fu": 6.16
}

Entry 3:
{
  "formula": "PrPaPb",
  "functional": "GGA-PBE",
  "state": "relaxed",
  "cell": [[5.412, 0.000, 0.000], [-2.706, 4.687, 0.000], [0.000, 0.000, 3.306]],
  "species": ["Pr", "Pa", "Pb"],
  "frac_coords": [[0.000, 0.000, 0.000], [0.333, 0.667, 0.000], [0.667, 0.333, 0.500]],
  "e_tot_ev_per_cell": -17.2,
  "formation_energy_ev_per_fu": 0.76,
  "relative_energy_mev_per_atom": 221,
  "sg": "P-6m2 (187)",
  "total_magnetization_mub_per_fu": 0.5,
  "dos_at_fermi_per_ev_fu": 5.35
}

Entry 4:
{
  "formula": "Pr2PaPb",
  "functional": "GGA-PBE",
  "state": "relaxed",
  "cell": [[4.017, 0.000, 0.000], [0.000, 4.017, 0.000], [0.000, 0.000, 7.422]],
  "species": ["Pr", "Pr", "Pa", "Pb"],
  "frac_coords": [[0.000, 0.000, 0.236], [0.000, 0.000, 0.764], [0.500, 0.500, 0.500], [0.500, 0.500, 0.000]],
  "e_tot_ev_per_cell": -22.8,
  "formation_energy_ev_per_fu": 0.00,
  "relative_energy_mev_per_atom": 48,
  "sg": "P4/mmm (123)",
  "total_magnetization_mub_per_fu": 0.0,
  "dos_at_fermi_per_ev_fu": 5.63
}